Record 1
! Er5Mg6Sc | Alexandria via LeMat-Bulk | GGA-PBE | relaxed; values from VASP
! V = 26.118 Å³ per atom
! ΔH_f (0 K) = -59 meV/atom
&SYSTEM
  ibrav = 0, nat = 12, ntyp = 3
/
ATOMIC_SPECIES
Er 167.26 Er.upf
Mg 24.30 Mg.upf
Sc 44.96 Sc.upf
CELL_PARAMETERS angstrom
-2.411 4.428 1.624
-2.104 1.418 -6.989
-7.928 -1.872 2.007
ATOMIC_POSITIONS crystal
Er 0.668 0.500 0.662
Er 0.000 0.500 0.000
Er 0.667 0.000 0.666
Er 0.332 0.500 0.338
Er 0.333 0.000 0.334
Mg 0.162 0.755 0.674
Mg 0.500 0.757 0.000
Mg 0.162 0.245 0.674
Mg 0.838 0.755 0.326
Mg 0.500 0.243 0.000
Mg 0.838 0.245 0.326
Sc 0.000 0.000 0.000



Record 2
! HoSiPd5 | Alexandria via LeMat-Bulk | GGA-PBE | relaxed; values from VASP
! Formation energy from raw total energies = -0.83 eV/atom
! V = 16.608 Å³ per atom
&SYSTEM
  ibrav = 0, nat = 7, ntyp = 3
/
ATOMIC_SPECIES
Pd 106.42 Pd.upf
Ho 164.93 Ho.upf
Si 28.09 Si.upf
CELL_PARAMETERS angstrom
4.035 0.000 0.000
0.000 4.035 0.000
0.000 0.000 7.141
ATOMIC_POSITIONS crystal
Pd 0.500 0.000 0.800
Pd 0.000 0.500 0.800
Pd 0.000 0.500 0.200
Pd 0.500 0.500 0.500
Pd 0.500 0.000 0.200
Ho 0.000 0.000 0.500
Si 0.500 0.500 0.000



Record 3
! CdNiSb | Alexandria via LeMat-Bulk | GGA-PBE | relaxed; values from VASP
! Formation energy from raw total energies = 0.04 eV/atom
! V = 20.314 Å³ per atom
&SYSTEM
  ibrav = 0, nat = 3, ntyp = 3
/
ATOMIC_SPECIES
Cd 112.41 Cd.upf
Ni 58.69 Ni.upf
Sb 121.76 Sb.upf
CELL_PARAMETERS angstrom
6.611 -0.015 0.017
5.879 3.025 0.013
0.733 0.181 3.035
ATOMIC_POSITIONS crystal
Cd 0.966 0.967 0.034
Ni 0.329 0.328 0.671
Sb 0.705 0.705 0.295



Record 4
! LiZrPb | Alexandria via LeMat-Bulk | GGA-PBE | relaxed; values from VASP
! V = 23.775 Å³ per atom
! ΔH_f (0 K) = 51 meV/atom
&SYSTEM
  ibrav = 0, nat = 3, ntyp = 3
/
ATOMIC_SPECIES
Li 6.94 Li.upf
Pb 207.20 Pb.upf
Zr 91.22 Zr.upf
CELL_PARAMETERS angstrom
-1.074 -2.263 -2.057
1.747 -0.862 2.591
-6.579 -0.699 4.203
ATOMIC_POSITIONS crystal
Li 0.000 0.000 0.009
Pb 0.667 0.333 0.326
Zr 0.333 0.667 0.665



Record 5
! Pu2CoRh | Alexandria via LeMat-Bulk | GGA-PBE | relaxed; values from VASP
! V = 17.452 Å³ per atom
! ΔH_f (0 K) = 278 meV/atom
&SYSTEM
  ibrav = 0, nat = 4, ntyp = 3
/
ATOMIC_SPECIES
Pu 244.00 Pu.upf
Co 58.93 Co.upf
Rh 102.91 Rh.upf
CELL_PARAMETERS angstrom
2.850 0.000 0.000
1.425 2.468 0.000
1.425 0.823 9.927
ATOMIC_POSITIONS crystal
Pu 0.083 0.083 0.752
Pu 0.917 0.917 0.248
Co 0.000 0.000 0.000
Rh 0.500 0.500 0.500



Record 6
! Li2Ce3Ga4 | Alexandria via LeMat-Bulk | GGA-PBE | relaxed; values from VASP
! V = 20.959 Å³ per atom
! ΔH_f (0 K) = -401 meV/atom
&SYSTEM
  ibrav = 0, nat = 9, ntyp = 3
/
ATOMIC_SPECIES
Li 6.94 Li.upf
Ce 140.12 Ce.upf
Ga 69.72 Ga.upf
CELL_PARAMETERS angstrom
-4.460 -0.386 -1.540
3.523 -4.152 -1.886
-2.850 -0.448 8.365
ATOMIC_POSITIONS crystal
Li 0.377 0.754 0.717
Li 0.623 0.246 0.283
Ce 0.651 0.301 0.654
Ce 0.349 0.699 0.346
Ce 0.000 0.000 0.000
Ga 0.266 0.531 0.931
Ga 0.052 0.103 0.376
Ga 0.948 0.897 0.624
Ga 0.734 0.469 0.069